Here is a relaxed structure of Co2MoPt from Alexandria via LeMat-Bulk. Energies are from PBEsol.

Cell: 4.130 4.130 4.130 Å, 60.00 60.00 60.00°
Atoms (fractional coordinates):
Mo (0.000, 0.000, 0.000)
Co (0.250, 0.250, 0.250)
Co (0.750, 0.750, 0.750)
Pt (0.500, 0.500, 0.500)

Output
VASP energy = -8.534 eV/atom
ρ = 13.63 g/cm³
polymorph energy (0 for the lowest one) = 56 kJ/mol of formula units

Here is a relaxed structure of Co2MoPt from Alexandria via LeMat-Bulk. Energies are from PBEsol.

Cell: 3.645 3.645 4.564 Å, 113.54 113.54 90.00°
Site moments in Bohr magnetons follow the coordinates.
Atoms (fractional coordinates):
Mo (0.000, 0.000, 0.000)  -0.13
Co (0.500, 0.500, 0.000)  1.00
Co (0.750, 0.250, 0.500)  0.56
Pt (0.250, 0.750, 0.500)  0.04

Output
VASP energy = -8.678 eV/atom
ρ = 13.57 g/cm³
polymorph energy (0 for the lowest one) = 0 kJ/mol of formula units

Here is a relaxed structure of ScCoMo2Pt from Alexandria via LeMat-Bulk. Energies are from PBEsol.

Cell: 4.145 4.485 4.485 Å, 90.00 90.00 90.00°
Site moments in Bohr magnetons follow the coordinates.
Atoms (fractional coordinates):
Sc (0.000, 0.000, 0.000)  -0.04
Mo (0.000, 0.000, 0.500)  0.10
Mo (0.000, 0.500, 0.000)  0.10
Co (0.500, 0.000, 0.000)  0.77
Pt (0.500, 0.500, 0.500)  0.10

Output
VASP energy = -7.219 eV/atom
ρ = 9.77 g/cm³

The following magnetization values (in μB/f.u.) correspond, in order, to the records above: 0.000; 1.475; 1.015.